Sc3Cr5S12: optimized geometry, PBE.

Results
For the formation energy (no corrections), the calculation gives -1791 kJ/mol of formula units. The density comes out at 3.359 g cm⁻³. The density of states at the Fermi level comes out at 0.476 states/eV/atom. The magnetic moment is 15.0 μB per formula unit. As for the space-group type: Ia-3d.

Unit cell a=12.605 b=12.605 c=12.605 alpha=109.47 beta=109.47 gamma=109.47
Element x y z (fractional)
Sc 0.750 0.375 0.125
Sc 0.875 0.750 0.125
Sc 0.375 0.750 0.625
Sc 0.250 0.125 0.375
Sc 0.875 0.125 0.250
Sc 0.375 0.625 0.250
Sc 0.625 0.375 0.750
Sc 0.125 0.875 0.750
Sc 0.750 0.875 0.625
Sc 0.625 0.250 0.375
Sc 0.125 0.250 0.875
Sc 0.250 0.625 0.875
Cr 0.125 0.375 0.250
Cr 0.000 0.500 0.000
Cr 0.000 0.000 0.000
Cr 0.375 0.250 0.125
Cr 0.500 0.000 0.500
Cr 0.500 0.500 0.000
Cr 0.125 0.750 0.375
Cr 0.750 0.125 0.875
Cr 0.750 0.625 0.375
Cr 0.375 0.125 0.750
Cr 0.625 0.875 0.250
Cr 0.500 0.500 0.500
Cr 0.500 0.000 0.000
Cr 0.000 0.000 0.500
Cr 0.250 0.375 0.625
Cr 0.250 0.875 0.125
Cr 0.000 0.500 0.500
Cr 0.875 0.250 0.625
Cr 0.625 0.750 0.875
Cr 0.875 0.625 0.750
S 0.713 0.126 0.037
S 0.324 0.537 0.410
S 0.963 0.374 0.287
S 0.537 0.213 0.126
S 0.586 0.713 0.676
S 0.963 0.590 0.176
S 0.324 0.787 0.414
S 0.090 0.914 0.126
S 0.590 0.963 0.676
S 0.713 0.586 0.176
S 0.787 0.463 0.374
S 0.824 0.910 0.037
S 0.126 0.713 0.537
S 0.374 0.410 0.086
S 0.086 0.910 0.374
S 0.414 0.126 0.590
S 0.086 0.176 0.213
S 0.463 0.676 0.090
S 0.824 0.914 0.287
S 0.126 0.414 0.090
S 0.374 0.963 0.787
S 0.590 0.626 0.414
S 0.910 0.824 0.537
S 0.787 0.324 0.914
S 0.410 0.374 0.586
S 0.090 0.176 0.463
S 0.213 0.676 0.086
S 0.176 0.086 0.713
S 0.626 0.037 0.213
S 0.874 0.586 0.910
S 0.537 0.324 0.910
S 0.586 0.874 0.410
S 0.914 0.824 0.787
S 0.914 0.090 0.626
S 0.874 0.287 0.463
S 0.176 0.090 0.963
S 0.626 0.590 0.914
S 0.410 0.037 0.324
S 0.287 0.414 0.824
S 0.213 0.537 0.626
S 0.910 0.086 0.874
S 0.676 0.213 0.586
S 0.463 0.787 0.874
S 0.037 0.410 0.824
S 0.414 0.287 0.324
S 0.037 0.626 0.713
S 0.676 0.463 0.590
S 0.287 0.874 0.963